A) Density functional theory data (PBE-GGA) for an optimized crystal structure of GeP2IrS.

Output
As for the density: 6.6 g/cm3. As for the crystal system: triclinic. The calculation puts the spin magnetization at 0.00 μB per formula unit.

```
data_GeP2IrS
_symmetry_space_group_name_H-M 'P 1'
_symmetry_Int_Tables_number 1
_symmetry_space_group_name_Hall 'P 1'
_cell_length_a 3.497
_cell_length_b 4.338
_cell_length_c 6.123
_cell_angle_alpha 85.85
_cell_angle_beta 78.98
_cell_angle_gamma 85.96
loop_
_atom_site_label
_atom_site_fract_x
_atom_site_fract_y
_atom_site_fract_z
Ge1 0.000 0.000 0.000
P1 0.151 0.121 0.569
P2 0.683 0.801 0.505
Ir1 0.719 0.335 0.331
S1 0.545 0.614 0.006
```



B) Density functional theory data (PBE-GGA) for an optimized crystal structure of GeP2IrS.

Output
As for the density: 6.5 g/cm3. As for the crystal system: monoclinic. The calculation puts the spin magnetization at 0.00 μB per formula unit.

```
data_GeP2IrS
_symmetry_space_group_name_H-M 'C 1 m 1'
_symmetry_Int_Tables_number 8
_symmetry_space_group_name_Hall 'C -2y'
_cell_length_a 8.258
_cell_length_b 3.221
_cell_length_c 7.539
_cell_angle_alpha 90.00
_cell_angle_beta 114.64
_cell_angle_gamma 90.00
loop_
_atom_site_label
_atom_site_fract_x
_atom_site_fract_y
_atom_site_fract_z
Ge1 0.000 0.000 0.000
P1 0.105 0.000 0.668
P2 0.495 0.500 0.331
Ir1 0.418 0.000 0.724
S1 0.263 0.000 0.349
```



C) Density functional theory data (PBE-GGA) for an optimized crystal structure of GeP2IrS.

Output
As for the density: 5.7 g/cm3. As for the crystal system: tetragonal. The calculation puts the spin magnetization at 0.00 μB per formula unit.

```
data_GeP2IrS
_symmetry_space_group_name_H-M 'P 4/m m m'
_symmetry_Int_Tables_number 123
_symmetry_space_group_name_Hall '-P 4 2'
_cell_length_a 4.472
_cell_length_b 4.472
_cell_length_c 5.240
_cell_angle_alpha 90.00
_cell_angle_beta 90.00
_cell_angle_gamma 90.00
loop_
_atom_site_label
_atom_site_fract_x
_atom_site_fract_y
_atom_site_fract_z
Ge1 0.000 0.000 0.000
P1 0.000 0.500 0.500
Ir1 0.500 0.500 0.500
S1 0.500 0.500 0.000
```



D) Density functional theory data (PBE-GGA) for an optimized crystal structure of GeP2IrS.

Output
As for the density: 6.3 g/cm3. As for the crystal system: monoclinic. The calculation puts the spin magnetization at 0.00 μB per formula unit.

```
data_GeP2IrS
_symmetry_space_group_name_H-M 'C 1 m 1'
_symmetry_Int_Tables_number 8
_symmetry_space_group_name_Hall 'C -2y'
_cell_length_a 7.208
_cell_length_b 3.690
_cell_length_c 7.324
_cell_angle_alpha 90.00
_cell_angle_beta 103.75
_cell_angle_gamma 90.00
loop_
_atom_site_label
_atom_site_fract_x
_atom_site_fract_y
_atom_site_fract_z
Ge1 0.000 0.000 0.000
P1 0.439 0.000 0.286
P2 0.460 0.500 0.483
Ir1 0.221 0.500 0.169
S1 0.310 0.500 0.694
```



Most stable pick: D). Distance to second place: 29 meV/atom.



A) Density functional theory data (PBE-GGA) for an optimized crystal structure of GeP2IrS.

Output
As for the density: 5.5 g/cm3. As for the crystal system: triclinic. The calculation puts the spin magnetization at 0.00 μB per formula unit.

```
data_GeP2IrS
_symmetry_space_group_name_H-M 'P 1'
_symmetry_Int_Tables_number 1
_symmetry_space_group_name_Hall 'P 1'
_cell_length_a 3.531
_cell_length_b 4.127
_cell_length_c 8.003
_cell_angle_alpha 92.36
_cell_angle_beta 94.85
_cell_angle_gamma 109.93
loop_
_atom_site_label
_atom_site_fract_x
_atom_site_fract_y
_atom_site_fract_z
Ge1 0.000 0.000 0.000
P1 0.557 0.939 0.281
P2 0.994 0.729 0.410
Ir1 0.678 0.452 0.136
S1 0.555 0.192 0.840
```



B) Density functional theory data (PBE-GGA) for an optimized crystal structure of GeP2IrS.

Output
As for the density: 6.8 g/cm3. As for the crystal system: triclinic. The calculation puts the spin magnetization at 0.00 μB per formula unit.

```
data_GeP2IrS
_symmetry_space_group_name_H-M 'P 1'
_symmetry_Int_Tables_number 1
_symmetry_space_group_name_Hall 'P 1'
_cell_length_a 3.669
_cell_length_b 4.268
_cell_length_c 6.164
_cell_angle_alpha 86.91
_cell_angle_beta 89.74
_cell_angle_gamma 64.96
loop_
_atom_site_label
_atom_site_fract_x
_atom_site_fract_y
_atom_site_fract_z
Ge1 0.000 0.000 0.000
P1 0.393 0.208 0.303
P2 0.443 0.112 0.693
Ir1 0.710 0.580 0.225
S1 0.704 0.593 0.602
```



Most stable pick: A). Distance to second place: 137 meV/atom.



A) Density functional theory data (PBE-GGA) for an optimized crystal structure of GeP2IrS.

Output
As for the density: 6.0 g/cm3. As for the crystal system: monoclinic. The calculation puts the spin magnetization at 0.00 μB per formula unit.

```
data_GeP2IrS
_symmetry_space_group_name_H-M 'C 1 m 1'
_symmetry_Int_Tables_number 8
_symmetry_space_group_name_Hall 'C -2y'
_cell_length_a 20.786
_cell_length_b 3.263
_cell_length_c 2.942
_cell_angle_alpha 90.00
_cell_angle_beta 97.93
_cell_angle_gamma 90.00
loop_
_atom_site_label
_atom_site_fract_x
_atom_site_fract_y
_atom_site_fract_z
Ge1 0.000 0.000 0.000
P1 0.244 0.000 0.751
P2 0.317 0.500 0.822
Ir1 0.402 0.500 0.405
S1 0.076 0.500 0.074
```



B) Density functional theory data (PBE-GGA) for an optimized crystal structure of GeP2IrS.

Output
As for the density: 6.1 g/cm3. As for the crystal system: monoclinic. The calculation puts the spin magnetization at 0.00 μB per formula unit.

```
data_GeP2IrS
_symmetry_space_group_name_H-M 'C 1 m 1'
_symmetry_Int_Tables_number 8
_symmetry_space_group_name_Hall 'C -2y'
_cell_length_a 7.540
_cell_length_b 3.844
_cell_length_c 6.729
_cell_angle_alpha 90.00
_cell_angle_beta 92.13
_cell_angle_gamma 90.00
loop_
_atom_site_label
_atom_site_fract_x
_atom_site_fract_y
_atom_site_fract_z
Ge1 0.000 0.000 0.000
P1 0.070 0.000 0.501
P2 0.264 0.000 0.257
Ir1 0.070 0.500 0.281
S1 0.232 0.000 0.762
```



C) Density functional theory data (PBE-GGA) for an optimized crystal structure of GeP2IrS.

Output
As for the density: 6.6 g/cm3. As for the crystal system: triclinic. The calculation puts the spin magnetization at 0.00 μB per formula unit.

```
data_GeP2IrS
_symmetry_space_group_name_H-M 'P 1'
_symmetry_Int_Tables_number 1
_symmetry_space_group_name_Hall 'P 1'
_cell_length_a 3.294
_cell_length_b 3.613
_cell_length_c 7.973
_cell_angle_alpha 87.19
_cell_angle_beta 87.32
_cell_angle_gamma 72.27
loop_
_atom_site_label
_atom_site_fract_x
_atom_site_fract_y
_atom_site_fract_z
Ge1 0.000 0.000 0.000
P1 0.530 0.088 0.356
P2 0.971 0.229 0.535
Ir1 0.615 0.591 0.169
S1 0.248 0.826 0.731
```



D) Density functional theory data (PBE-GGA) for an optimized crystal structure of GeP2IrS.

Output
As for the density: 5.1 g/cm3. As for the crystal system: triclinic. The calculation puts the spin magnetization at 0.00 μB per formula unit.

```
data_GeP2IrS
_symmetry_space_group_name_H-M 'P 1'
_symmetry_Int_Tables_number 1
_symmetry_space_group_name_Hall 'P 1'
_cell_length_a 3.365
_cell_length_b 4.285
_cell_length_c 8.940
_cell_angle_alpha 84.06
_cell_angle_beta 79.32
_cell_angle_gamma 66.99
loop_
_atom_site_label
_atom_site_fract_x
_atom_site_fract_y
_atom_site_fract_z
Ge1 0.000 0.000 0.000
P1 0.183 0.331 0.306
P2 0.281 0.957 0.484
Ir1 0.901 0.917 0.281
S1 0.416 0.293 0.873
```



Most stable pick: D). Distance to second place: 36 meV/atom.